The following is a PBE calculation of a relaxed Ce7Ir2Pb2 crystal, from the Alexandria database.

The structure in POSCAR format:
```
Ce7Ir2Pb2
1.0
-2.5682 -1.3633 -6.4884
-5.6853 -2.3986 2.7517
-1.8817 6.5997 1.8591
Ce Ir Pb
7 2 2
Direct
0.0000 0.0000 0.0000
0.0002 0.7276 0.4997
0.4997 0.2724 0.0002
0.5002 0.7945 0.4998
0.4998 0.2055 0.5002
0.5003 0.7276 0.9998
0.9998 0.2724 0.5003
0.2668 0.0000 0.7332
0.7332 0.0000 0.2668
0.8165 0.5000 0.8165
0.1835 0.5000 0.1835
```

Summary:
**Symmetry**: Cmmm
**Final energy**: -6.403 eV per atom
**Energy relative to the elements**: -0.341 eV per atom